{"formula": "CoBrCl2", "functional": "PBE", "state": "optimized geometry", "lattice_angstrom": [[6.521, -1.573, 0.000], [6.521, 1.573, 0.000], [-3.397, 0.000, 5.945]], "species": ["Co", "Br", "Cl", "Cl"], "frac_coords": [[0.000, 0.000, 0.000], [0.347, 0.347, 0.703], [0.493, 0.493, 0.251], [0.635, 0.635, 0.997]], "density_g_cm3": 2.86, "vol_a3_per_atom": 30.5, "crystal_system": "monoclinic", "formation_energy_uncorrected_ev_per_fu": -1.09}